## w
# SiHNF2 (GGA-PBE, optimized geometry)
# - Crystal system: tetragonal
# - Density: 2.9 g/cm3
# - DOS(E_F): 1.29 states/eV/f.u.
data_SiHNF2
_symmetry_space_group_name_H-M 'P 4/m m m'
_symmetry_Int_Tables_number 123
_symmetry_space_group_name_Hall '-P 4 2'
_cell_length_a 3.6367
_cell_length_b 3.6367
_cell_length_c 3.4671
_cell_angle_alpha 90.00
_cell_angle_beta 90.00
_cell_angle_gamma 90.00
loop_
_atom_site_label
_atom_site_type_symbol
_atom_site_fract_x
_atom_site_fract_y
_atom_site_fract_z
Si1 Si 0.0000 0.0000 0.0000
H1 H 0.5000 0.5000 0.5000
N1 N 0.0000 0.0000 0.5000
F1 F 0.0000 0.5000 0.0000



## x
# SiHNF2 (GGA-PBE, optimized geometry)
# - Crystal system: tetragonal
# - Density: 3.1 g/cm3
# - DOS(E_F): 1.56 states/eV/f.u.
data_SiHNF2
_symmetry_space_group_name_H-M 'P 4/m m m'
_symmetry_Int_Tables_number 123
_symmetry_space_group_name_Hall '-P 4 2'
_cell_length_a 2.8634
_cell_length_b 2.8634
_cell_length_c 5.3058
_cell_angle_alpha 90.00
_cell_angle_beta 90.00
_cell_angle_gamma 90.00
loop_
_atom_site_label
_atom_site_type_symbol
_atom_site_fract_x
_atom_site_fract_y
_atom_site_fract_z
Si1 Si 0.0000 0.0000 0.0000
H1 H 0.5000 0.5000 0.5000
N1 N 0.5000 0.5000 0.0000
F1 F 0.0000 0.5000 0.5000



Which structure is most stable? w, by 59.7 kJ/mol of atoms over the runner-up.



## w
# SrHNF2 (GGA-PBE, optimized geometry)
# - Crystal system: tetragonal
# - Density: 4.2 g/cm3
# - DOS(E_F): 0.65 states/eV/f.u.
data_SrHNF2
_symmetry_space_group_name_H-M 'P 4/m m m'
_symmetry_Int_Tables_number 123
_symmetry_space_group_name_Hall '-P 4 2'
_cell_length_a 4.2857
_cell_length_b 4.2857
_cell_length_c 3.0078
_cell_angle_alpha 90.00
_cell_angle_beta 90.00
_cell_angle_gamma 90.00
loop_
_atom_site_label
_atom_site_type_symbol
_atom_site_fract_x
_atom_site_fract_y
_atom_site_fract_z
Sr1 Sr 0.0000 0.0000 0.0000
H1 H 0.5000 0.5000 0.5000
N1 N 0.5000 0.5000 0.0000
F1 F 0.0000 0.5000 0.5000



## x
# SrHNF2 (GGA-PBE, optimized geometry)
# - Crystal system: tetragonal
# - Density: 1.7 g/cm3
data_SrHNF2
_symmetry_space_group_name_H-M 'P 4/m m m'
_symmetry_Int_Tables_number 123
_symmetry_space_group_name_Hall '-P 4 2'
_cell_length_a 4.6848
_cell_length_b 4.6848
_cell_length_c 6.2326
_cell_angle_alpha 90.00
_cell_angle_beta 90.00
_cell_angle_gamma 90.00
loop_
_atom_site_label
_atom_site_type_symbol
_atom_site_fract_x
_atom_site_fract_y
_atom_site_fract_z
Sr1 Sr 0.0000 0.0000 0.0000
H1 H 0.5000 0.5000 0.5000
N1 N 0.0000 0.0000 0.5000
F1 F 0.0000 0.5000 0.0000



Which structure is most stable? w, by 51.4 kJ/mol of atoms over the runner-up.



## w
# TaHN2F (GGA-PBE, optimized geometry)
# - Crystal system: tetragonal
# - Density: 5.7 g/cm3
# - DOS(E_F): 1.86 states/eV/f.u.
data_TaHN2F
_symmetry_space_group_name_H-M 'P 4/m m m'
_symmetry_Int_Tables_number 123
_symmetry_space_group_name_Hall '-P 4 2'
_cell_length_a 4.0214
_cell_length_b 4.0214
_cell_length_c 4.1166
_cell_angle_alpha 90.00
_cell_angle_beta 90.00
_cell_angle_gamma 90.00
loop_
_atom_site_label
_atom_site_type_symbol
_atom_site_fract_x
_atom_site_fract_y
_atom_site_fract_z
Ta1 Ta 0.0000 0.0000 0.0000
H1 H 0.5000 0.5000 0.5000
N1 N 0.0000 0.5000 0.0000
F1 F 0.0000 0.0000 0.5000



## x
# TaHN2F (GGA-PBE, optimized geometry)
# - Crystal system: tetragonal
# - Density: 10.0 g/cm3
# - DOS(E_F): 1.59 states/eV/f.u.
data_TaHN2F
_symmetry_space_group_name_H-M 'P 4/m m m'
_symmetry_Int_Tables_number 123
_symmetry_space_group_name_Hall '-P 4 2'
_cell_length_a 3.4885
_cell_length_b 3.4885
_cell_length_c 3.1223
_cell_angle_alpha 90.00
_cell_angle_beta 90.00
_cell_angle_gamma 90.00
loop_
_atom_site_label
_atom_site_type_symbol
_atom_site_fract_x
_atom_site_fract_y
_atom_site_fract_z
Ta1 Ta 0.0000 0.0000 0.0000
H1 H 0.5000 0.5000 0.5000
N1 N 0.0000 0.5000 0.5000
F1 F 0.5000 0.5000 0.0000



Which structure is most stable? w, by 34.6 kJ/mol of atoms over the runner-up.



## w
# TcHNF2 (GGA-PBE, optimized geometry)
# - Crystal system: tetragonal
# - Density: 4.0 g/cm3
# - DOS(E_F): 0.88 states/eV/f.u.
data_TcHNF2
_symmetry_space_group_name_H-M 'P 4/m m m'
_symmetry_Int_Tables_number 123
_symmetry_space_group_name_Hall '-P 4 2'
_cell_length_a 4.1017
_cell_length_b 4.1017
_cell_length_c 3.7387
_cell_angle_alpha 90.00
_cell_angle_beta 90.00
_cell_angle_gamma 90.00
loop_
_atom_site_label
_atom_site_type_symbol
_atom_site_fract_x
_atom_site_fract_y
_atom_site_fract_z
Tc1 Tc 0.0000 0.0000 0.0000
H1 H 0.5000 0.5000 0.5000
N1 N 0.0000 0.0000 0.5000
F1 F 0.0000 0.5000 0.0000



## x
# TcHNF2 (GGA-PBE, optimized geometry)
# - Crystal system: tetragonal
# - Density: 5.8 g/cm3
# - DOS(E_F): 2.27 states/eV/f.u.
data_TcHNF2
_symmetry_space_group_name_H-M 'P 4/m m m'
_symmetry_Int_Tables_number 123
_symmetry_space_group_name_Hall '-P 4 2'
_cell_length_a 3.0024
_cell_length_b 3.0024
_cell_length_c 4.7992
_cell_angle_alpha 90.00
_cell_angle_beta 90.00
_cell_angle_gamma 90.00
loop_
_atom_site_label
_atom_site_type_symbol
_atom_site_fract_x
_atom_site_fract_y
_atom_site_fract_z
Tc1 Tc 0.0000 0.0000 0.0000
H1 H 0.5000 0.5000 0.5000
N1 N 0.5000 0.5000 0.0000
F1 F 0.0000 0.5000 0.5000



Which structure is most stable? w, by 34.3 kJ/mol of atoms over the runner-up.



## w
# TcHN2F (GGA-PBE, optimized geometry)
# - Crystal system: tetragonal
# - Density: 6.3 g/cm3
# - DOS(E_F): 3.27 states/eV/f.u.
data_TcHN2F
_symmetry_space_group_name_H-M 'P 4/m m m'
_symmetry_Int_Tables_number 123
_symmetry_space_group_name_Hall '-P 4 2'
_cell_length_a 3.2470
_cell_length_b 3.2470
_cell_length_c 3.6428
_cell_angle_alpha 90.00
_cell_angle_beta 90.00
_cell_angle_gamma 90.00
loop_
_atom_site_label
_atom_site_type_symbol
_atom_site_fract_x
_atom_site_fract_y
_atom_site_fract_z
Tc1 Tc 0.0000 0.0000 0.0000
H1 H 0.5000 0.5000 0.5000
N1 N 0.0000 0.5000 0.5000
F1 F 0.5000 0.5000 0.0000



## x
# TcHN2F (GGA-PBE, optimized geometry)
# - Crystal system: tetragonal
# - Density: 4.0 g/cm3
# - DOS(E_F): 1.54 states/eV/f.u.
data_TcHN2F
_symmetry_space_group_name_H-M 'P 4/m m m'
_symmetry_Int_Tables_number 123
_symmetry_space_group_name_Hall '-P 4 2'
_cell_length_a 3.8036
_cell_length_b 3.8036
_cell_length_c 4.1467
_cell_angle_alpha 90.00
_cell_angle_beta 90.00
_cell_angle_gamma 90.00
loop_
_atom_site_label
_atom_site_type_symbol
_atom_site_fract_x
_atom_site_fract_y
_atom_site_fract_z
Tc1 Tc 0.0000 0.0000 0.0000
H1 H 0.5000 0.5000 0.5000
N1 N 0.0000 0.5000 0.0000
F1 F 0.0000 0.0000 0.5000



Which structure is most stable? x, by 74.0 kJ/mol of atoms over the runner-up.



## w
# TiHNF2 (GGA-PBE, optimized geometry)
# - Crystal system: tetragonal
# - Density: 4.2 g/cm3
# - DOS(E_F): 0.63 states/eV/f.u.
data_TiHNF2
_symmetry_space_group_name_H-M 'P 4/m m m'
_symmetry_Int_Tables_number 123
_symmetry_space_group_name_Hall '-P 4 2'
_cell_length_a 3.0190
_cell_length_b 3.0190
_cell_length_c 4.4075
_cell_angle_alpha 90.00
_cell_angle_beta 90.00
_cell_angle_gamma 90.00
loop_
_atom_site_label
_atom_site_type_symbol
_atom_site_fract_x
_atom_site_fract_y
_atom_site_fract_z
Ti1 Ti 0.0000 0.0000 0.0000
H1 H 0.5000 0.5000 0.5000
N1 N 0.5000 0.5000 0.0000
F1 F 0.0000 0.5000 0.5000



## x
# TiHNF2 (GGA-PBE, optimized geometry)
# - Crystal system: tetragonal
# - Density: 2.8 g/cm3
# - DOS(E_F): 1.90 states/eV/f.u.
data_TiHNF2
_symmetry_space_group_name_H-M 'P 4/m m m'
_symmetry_Int_Tables_number 123
_symmetry_space_group_name_Hall '-P 4 2'
_cell_length_a 3.9390
_cell_length_b 3.9390
_cell_length_c 3.8974
_cell_angle_alpha 90.00
_cell_angle_beta 90.00
_cell_angle_gamma 90.00
loop_
_atom_site_label
_atom_site_type_symbol
_atom_site_fract_x
_atom_site_fract_y
_atom_site_fract_z
Ti1 Ti 0.0000 0.0000 0.0000
H1 H 0.5000 0.5000 0.5000
N1 N 0.0000 0.0000 0.5000
F1 F 0.0000 0.5000 0.0000



Which structure is most stable? x, by 19.9 kJ/mol of atoms over the runner-up.



## w
# TlHNF2 (GGA-PBE, optimized geometry)
# - Crystal system: tetragonal
# - Density: 8.4 g/cm3
# - DOS(E_F): 0.70 states/eV/f.u.
data_TlHNF2
_symmetry_space_group_name_H-M 'P 4/m m m'
_symmetry_Int_Tables_number 123
_symmetry_space_group_name_Hall '-P 4 2'
_cell_length_a 3.3798
_cell_length_b 3.3798
_cell_length_c 4.4621
_cell_angle_alpha 90.00
_cell_angle_beta 90.00
_cell_angle_gamma 90.00
loop_
_atom_site_label
_atom_site_type_symbol
_atom_site_fract_x
_atom_site_fract_y
_atom_site_fract_z
Tl1 Tl 0.0000 0.0000 0.0000
H1 H 0.5000 0.5000 0.5000
N1 N 0.5000 0.5000 0.0000
F1 F 0.0000 0.5000 0.5000



## x
# TlHNF2 (GGA-PBE, optimized geometry)
# - Crystal system: tetragonal
# - Density: 4.7 g/cm3
# - DOS(E_F): 1.50 states/eV/f.u.
data_TlHNF2
_symmetry_space_group_name_H-M 'P 4/m m m'
_symmetry_Int_Tables_number 123
_symmetry_space_group_name_Hall '-P 4 2'
_cell_length_a 4.5078
_cell_length_b 4.5078
_cell_length_c 4.5054
_cell_angle_alpha 90.00
_cell_angle_beta 90.00
_cell_angle_gamma 90.00
loop_
_atom_site_label
_atom_site_type_symbol
_atom_site_fract_x
_atom_site_fract_y
_atom_site_fract_z
Tl1 Tl 0.0000 0.0000 0.0000
H1 H 0.5000 0.5000 0.5000
N1 N 0.0000 0.0000 0.5000
F1 F 0.0000 0.5000 0.0000



Which structure is most stable? w, by 19.2 kJ/mol of atoms over the runner-up.